TcHPd2Rh: optimized geometry, GGA-PBE.

Cell lengths 3.9220, 3.9220, 4.0179 Å; angles 90.00, 90.00, 90.00 degrees
Atoms (fractional coordinates):
Tc 0.0000 0.0000 0.0000
H 0.0000 0.0000 0.5000
Pd 0.0000 0.5000 0.5000
Pd 0.5000 0.0000 0.5000
Rh 0.5000 0.5000 0.0000

Computed properties:
E_tot ... -30.63 eV/cell

=====

TaCo2BSe: optimized geometry, GGA-PBE.

Cell lengths 4.5625, 4.5625, 4.3202 Å; angles 90.00, 90.00, 90.00 degrees
Atoms (fractional coordinates):
Ta 0.0000 0.0000 0.0000
Co 0.0000 0.5000 0.0000
Co 0.5000 0.0000 0.0000
B 0.0000 0.0000 0.5000
Se 0.5000 0.5000 0.5000

Computed properties:
E_tot ... -28.29 eV/cell

=====

PrTlSn: optimized geometry, GGA-PBE.

Cell lengths 4.7993, 4.7993, 4.5455 Å; angles 90.00, 90.00, 120.00 degrees
Atoms (fractional coordinates):
Pr 0.0000 0.0000 0.0000
Tl 0.3333 0.6667 0.3573
Sn 0.6667 0.3333 0.6141

Computed properties:
Energy above the most stable polymorph in this dataset ... 41 meV per atom
Formation energy ... -0.43 eV/atom

=====

Ag2TeAs: optimized geometry, GGA-PBE.

Cell lengths 10.6856, 10.6856, 10.6856 Å; angles 16.77, 16.77, 16.77 degrees
Atoms (fractional coordinates):
Ag 0.0000 0.0000 0.0000
Ag 0.2610 0.2610 0.2610
Te 0.5112 0.5112 0.5112
As 0.7341 0.7341 0.7341

Computed properties:
Energy above the most stable polymorph in this dataset ... 171 meV per atom